# 1
A plane-wave DFT calculation with PBE was carried out for a relaxed structure of NdAlPd5.

## Properties
For the calculated total energy, the calculation gives -5.6412 eV/atom. The value obtained for the size of the total moment is 0.00 μB per cell. The formation energy is -0.72 eV/atom. The calculation puts the calculated volume at 17.75 Å³ per atom.

```
data_NdAlPd5
_chemical_formula_sum 'Nd1 Al1 Pd5'
_cell_length_a 4.174
_cell_length_b 4.174
_cell_length_c 7.134
_cell_angle_alpha 90.00
_cell_angle_beta 90.00
_cell_angle_gamma 90.00
_space_group_name_H-M_alt 'P 4/m m m'
_space_group_IT_number 123
_space_group_name_Hall '-P 4 2'
loop_
_atom_site_label
_atom_site_fract_x
_atom_site_fract_y
_atom_site_fract_z
Nd1 0.000 0.000 0.000
Al1 0.500 0.500 0.500
Pd1 0.000 0.500 0.298
Pd2 0.500 0.500 0.000
```

***

# 2
A plane-wave DFT calculation with PBE was carried out for a relaxed structure of NdAl7Pd5.

## Properties
For the calculated total energy, the calculation gives -5.1187 eV/atom. The value obtained for the size of the total moment is 0.00 μB per cell. The formation energy is -0.74 eV/atom. The calculation puts the calculated volume at 16.70 Å³ per atom.

```
data_NdAl7Pd5
_chemical_formula_sum 'Nd2 Al14 Pd10'
_cell_length_a 5.418
_cell_length_b 9.149
_cell_length_c 8.758
_cell_angle_alpha 90.00
_cell_angle_beta 90.00
_cell_angle_gamma 90.00
_space_group_name_H-M_alt 'I m m 2'
_space_group_IT_number 44
loop_
_space_group_symop_operation_xyz
'x,y,z'
'-x,-y,z'
'-x,y,z'
'x,-y,z'
'x+1/2,y+1/2,z+1/2'
'-x+1/2,-y+1/2,z+1/2'
'-x+1/2,y+1/2,z+1/2'
'x+1/2,-y+1/2,z+1/2'
loop_
_atom_site_label
_atom_site_fract_x
_atom_site_fract_y
_atom_site_fract_z
Nd1 0.000 0.000 0.000
Al1 0.000 0.000 0.343
Al2 0.000 0.000 0.642
Al3 0.000 0.289 0.505
Al4 0.000 0.349 0.980
Al5 0.000 0.500 0.264
Pd1 0.000 0.500 0.720
Pd2 0.248 0.268 0.247
```

***

# 3
A plane-wave DFT calculation with PBE was carried out for a relaxed structure of Nd2Al5Pd.

## Properties
For the calculated total energy, the calculation gives -4.6301 eV/atom. The value obtained for the size of the total moment is 0.00 μB per cell. The formation energy is -0.45 eV/atom. The calculation puts the calculated volume at 22.19 Å³ per atom.

```
data_Nd2Al5Pd
_chemical_formula_sum 'Nd4 Al10 Pd2'
_cell_length_a 6.254
_cell_length_b 6.254
_cell_length_c 9.078
_cell_angle_alpha 90.00
_cell_angle_beta 90.00
_cell_angle_gamma 90.00
_space_group_name_H-M_alt 'I 4 m m'
_space_group_IT_number 107
_space_group_name_Hall 'I 4 -2'
loop_
_atom_site_label
_atom_site_fract_x
_atom_site_fract_y
_atom_site_fract_z
Nd1 0.000 0.500 0.000
Al1 0.000 0.000 0.022
Al2 0.217 0.217 0.249
Pd1 0.000 0.000 0.750
```